(1)
Density functional theory data (PBE-GGA) for a geometry-optimized PmCdO structure.

The space group is P4/nmm (No. 129, origin choice 2) and the conventional cell measures 4.0198, 4.0198 and 8.2139 Å, with angles of 90.00, 90.00 and 90.00 degrees. The inequivalent atoms are Pm at (0.2500, 0.2500, 0.1392), Cd at (0.2500, 0.2500, 0.5775) and O at (0.2500, 0.7500, 0.0000).

Its uncorrected energy is -33.26 eV for the cell shown.

***

(2)
Density functional theory data (PBE-GGA) for a geometry-optimized PmCdO4 structure.

The space group is Cm (No. 8) and the conventional cell measures 6.9279, 3.7889 and 6.6997 Å, with angles of 90.00, 94.57 and 90.00 degrees. The inequivalent atoms are Pm at (0.0000, 0.0000, 0.0000), Cd at (0.3572, 0.0000, 0.4225), O at (0.0287, 0.0000, 0.3518), O at (0.0959, 0.5000, 0.7518), O at (0.2723, 0.5000, 0.6747) and O at (0.3277, 0.0000, 0.0463).

Its uncorrected energy is -70.64 eV for the cell shown.

***

(3)
Density functional theory data (PBE-GGA) for a geometry-optimized Pm2CdO structure.

The space group is R-3m (No. 166, hexagonal axes) and the conventional cell measures 3.6857, 3.6857 and 23.4807 Å, with angles of 90.00, 90.00 and 120.00 degrees. The inequivalent atoms are Pm at (0.0000, 0.0000, 0.2240), Cd at (0.0000, 0.0000, 0.0000) and O at (0.0000, 0.0000, 0.5000).

The distance to the lowest polymorph of the same formula is 68 meV per atom.